# 1
## K2CrCl (PBE-GGA)

Data for a geometry-optimized K2CrCl structure.

It has space group P4mm (No. 99), with a = 4.148 Å, b = 4.148 Å, c = 9.845 Å, α = 90.00°, β = 90.00° and γ = 90.00°. Symmetry generates all atoms from K at (0.000, 0.000, 0.000), K at (0.500, 0.500, 0.414), Cr at (0.500, 0.500, 0.784) and Cl at (0.000, 0.000, 0.310).

The total energy is -0.266 Ry per atom. As for the crystal system: tetragonal. The formation energy from raw total energies comes out at -0.199 eV/atom. As for the magnetic moment: 1.337 μB per atom.


# 2
## KCrCl3 (PBE-GGA)

Data for a geometry-optimized KCrCl3 structure.

It has space group R-3c (No. 167, hexagonal axes), with a = 7.0330 Å, b = 7.0330 Å, c = 17.1096 Å, α = 90.00°, β = 90.00° and γ = 120.00°. Symmetry generates all atoms from K at (0.0000, 0.0000, 0.2500), Cr at (0.0000, 0.0000, 0.0000) and Cl at (0.0000, 0.4628, 0.2500).

The total energy is -0.340 Ry per atom. As for the crystal system: trigonal. The formation energy from raw total energies comes out at -1.373 eV/atom. As for the magnetic moment: 0.800 μB per atom.


# 3
## K2CrCl (PBE-GGA)

Data for a geometry-optimized K2CrCl structure.

It has space group Pmm2 (No. 25), with a = 3.952 Å, b = 4.171 Å, c = 9.078 Å, α = 90.00°, β = 90.00° and γ = 90.00°. Symmetry generates all atoms from K at (0.000, 0.000, 0.000), K at (0.000, 0.500, 0.417), Cr at (0.500, 0.000, 0.663) and Cl at (0.500, 0.500, 0.147).

The total energy is -0.268 Ry per atom. As for the crystal system: orthorhombic. The formation energy from raw total energies comes out at -0.235 eV/atom. As for the magnetic moment: 1.331 μB per atom.


# 4
## KCrCl (PBE-GGA)

Data for a geometry-optimized KCrCl structure.

It has space group I4mm (No. 107), with a = 3.531 Å, b = 3.531 Å, c = 13.268 Å, α = 90.00°, β = 90.00° and γ = 90.00°. Symmetry generates all atoms from K at (0.000, 0.000, 0.000), Cr at (0.000, 0.000, 0.721) and Cl at (0.000, 0.000, 0.350).

The total energy is -0.314 Ry per atom. As for the crystal system: tetragonal. The formation energy from raw total energies comes out at -0.079 eV/atom. As for the magnetic moment: 1.702 μB per atom.


Fermi-level density of states values (in states/eV per cell) by entry order: 1.09, 7.14, 1.09, 1.75.